Entry 1:
# Mn2NiRu | Alexandria | PBE | optimized geometry
data_Mn2NiRu
_symmetry_space_group_name_H-M 'P 1'
_symmetry_Int_Tables_number 1
_symmetry_space_group_name_Hall 'P 1'
_cell_length_a 5.8238
_cell_length_b 5.8238
_cell_length_c 5.8238
_cell_angle_alpha 90.00
_cell_angle_beta 90.00
_cell_angle_gamma 90.00
loop_
_atom_site_label
_atom_site_fract_x
_atom_site_fract_y
_atom_site_fract_z
_atom_site_occupancy
Mn1 0.0000 0.0000 0.0000 1
Mn2 0.0000 0.5000 0.5000 1
Mn3 0.2500 0.2500 0.2500 1
Mn4 0.2500 0.7500 0.7500 1
Mn5 0.5000 0.0000 0.5000 1
Mn6 0.5000 0.5000 0.0000 1
Mn7 0.7500 0.2500 0.7500 1
Mn8 0.7500 0.7500 0.2500 1
Ni1 0.0000 0.0000 0.5000 1
Ni2 0.0000 0.5000 0.0000 1
Ni3 0.5000 0.0000 0.0000 1
Ni4 0.5000 0.5000 0.5000 1
Ru1 0.2500 0.2500 0.7500 1
Ru2 0.2500 0.7500 0.2500 1
Ru3 0.7500 0.2500 0.2500 1
Ru4 0.7500 0.7500 0.7500 1
# Total magnetic moment   4.32 μB/f.u.
# ΔE_f   0.21 eV/atom
# Energy   -8.14 eV/atom
# Crystal system   cubic
# SG   F-43m



Entry 2:
# Rb4B | Alexandria | PBE | optimized geometry
data_Rb4B
_symmetry_space_group_name_H-M 'P 1'
_symmetry_Int_Tables_number 1
_symmetry_space_group_name_Hall 'P 1'
_cell_length_a 6.8304
_cell_length_b 6.8304
_cell_length_c 6.8304
_cell_angle_alpha 90.00
_cell_angle_beta 90.00
_cell_angle_gamma 90.00
loop_
_atom_site_label
_atom_site_fract_x
_atom_site_fract_y
_atom_site_fract_z
_atom_site_occupancy
Rb1 0.0000 0.0000 0.0000 1
Rb2 0.0000 0.5000 0.5000 1
Rb3 0.5000 0.0000 0.5000 1
Rb4 0.5000 0.5000 0.0000 1
B1 0.5000 0.5000 0.5000 1
# Total magnetic moment   1.29 μB/f.u.
# ΔE_f   0.76 eV/atom
# Energy   -1.35 eV/atom
# Crystal system   cubic
# SG   Pm-3m



Entry 3:
# Hf3TaPd12 | Alexandria | PBE | optimized geometry
data_Hf3TaPd12
_symmetry_space_group_name_H-M 'P 1'
_symmetry_Int_Tables_number 1
_symmetry_space_group_name_Hall 'P 1'
_cell_length_a 4.0022
_cell_length_b 4.0022
_cell_length_c 16.0087
_cell_angle_alpha 90.00
_cell_angle_beta 90.00
_cell_angle_gamma 90.00
loop_
_atom_site_label
_atom_site_fract_x
_atom_site_fract_y
_atom_site_fract_z
_atom_site_occupancy
Hf1 0.0000 0.0000 0.0000 1
Hf2 0.0000 0.0000 0.2508 1
Hf3 0.0000 0.0000 0.7492 1
Ta1 0.0000 0.0000 0.5000 1
Pd1 0.0000 0.5000 0.1256 1
Pd2 0.0000 0.5000 0.3774 1
Pd3 0.0000 0.5000 0.6226 1
Pd4 0.0000 0.5000 0.8744 1
Pd5 0.5000 0.0000 0.1256 1
Pd6 0.5000 0.0000 0.3774 1
Pd7 0.5000 0.0000 0.6226 1
Pd8 0.5000 0.0000 0.8744 1
Pd9 0.5000 0.5000 0.0000 1
Pd10 0.5000 0.5000 0.2516 1
Pd11 0.5000 0.5000 0.5000 1
Pd12 0.5000 0.5000 0.7484 1
# Total magnetic moment   0.01 μB/f.u.
# ΔE_f   -0.71 eV/atom
# Energy   -7.22 eV/atom
# Crystal system   tetragonal
# SG   P4/mmm



Entry 4:
# YCrNi2I | Alexandria | PBE | optimized geometry
data_YCrNi2I
_symmetry_space_group_name_H-M 'P 1'
_symmetry_Int_Tables_number 1
_symmetry_space_group_name_Hall 'P 1'
_cell_length_a 4.4604
_cell_length_b 4.4604
_cell_length_c 5.5357
_cell_angle_alpha 90.00
_cell_angle_beta 90.00
_cell_angle_gamma 90.00
loop_
_atom_site_label
_atom_site_fract_x
_atom_site_fract_y
_atom_site_fract_z
_atom_site_occupancy
Y1 0.0000 0.0000 0.0000 1
Cr1 0.0000 0.0000 0.5000 1
Ni1 0.0000 0.5000 0.5000 1
Ni2 0.5000 0.0000 0.5000 1
I1 0.5000 0.5000 0.0000 1
# Total magnetic moment   2.99 μB/f.u.
# Energy   -5.14 eV/atom
# Crystal system   tetragonal
# SG   P4/mmm